Entry 1:
! Ti2GeAs2 GGA-PBE relaxed; values from VASP
! volume: 85.29 Å³/f.u.
! spin magnetization: 0.00 μB/cell
! space group: P4/mbm, No. 127
! formation energy from the elements: -0.55 eV per atom
! uncorrected energy: -32.4 eV/f.u.
&SYSTEM
  ibrav = 0, nat = 10, ntyp = 3
/
ATOMIC_SPECIES
As 74.92 As.upf
Ge 72.64 Ge.upf
Ti 47.87 Ti.upf
CELL_PARAMETERS angstrom
-1.154 2.141 -6.580
3.328 -5.677 -2.431
-2.997 -1.740 -0.040
ATOMIC_POSITIONS crystal
As 0.146 0.646 0.500
As 0.646 0.854 0.500
As 0.854 0.354 0.500
As 0.354 0.146 0.500
Ge 0.000 0.000 0.000
Ge 0.500 0.500 0.000
Ti 0.348 0.848 0.000
Ti 0.848 0.652 0.000
Ti 0.652 0.152 0.000
Ti 0.152 0.348 0.000


Entry 2:
! Ti2GeAs GGA-PBE relaxed; values from VASP
! volume: 71.05 Å³/f.u.
! spin magnetization: 0.00 μB/cell
! space group: R3m, No. 160
! formation energy from the elements: -0.60 eV per atom
! uncorrected energy: -27.5 eV/f.u.
&SYSTEM
  ibrav = 0, nat = 4, ntyp = 3
/
ATOMIC_SPECIES
Ti 47.87 Ti.upf
Ge 72.64 Ge.upf
As 74.92 As.upf
CELL_PARAMETERS angstrom
3.628 0.000 0.000
1.814 3.142 0.000
1.814 1.047 6.233
ATOMIC_POSITIONS crystal
Ti 0.079 0.079 0.764
Ti 0.254 0.254 0.237
Ge 0.499 0.499 0.503
As 0.668 0.668 0.995


Entry 3:
! Ti2GeAs2 GGA-PBE relaxed; values from VASP
! volume: 87.30 Å³/f.u.
! spin magnetization: 0.00 μB/cell
! space group: P4/mbm, No. 127
! formation energy from the elements: -0.39 eV per atom
! uncorrected energy: -31.7 eV/f.u.
&SYSTEM
  ibrav = 0, nat = 10, ntyp = 3
/
ATOMIC_SPECIES
As 74.92 As.upf
Ge 72.64 Ge.upf
Ti 47.87 Ti.upf
CELL_PARAMETERS angstrom
7.207 0.000 0.000
0.000 7.207 0.000
0.000 0.000 3.361
ATOMIC_POSITIONS crystal
As 0.354 0.854 0.000
As 0.854 0.646 0.000
As 0.646 0.146 0.000
As 0.146 0.354 0.000
Ge 0.000 0.000 0.000
Ge 0.500 0.500 0.000
Ti 0.145 0.645 0.500
Ti 0.645 0.855 0.500
Ti 0.855 0.355 0.500
Ti 0.355 0.145 0.500


| no. | offset from the most stable computed form (eV/atom) |
| --- | --- |
| 1 | 0.000 |
| 2 | 0.058 |
| 3 | 0.154 |